Record 1
Sr3Ac2PrTe6 after structural relaxation, computed with PBE-GGA.

It has space group C2/m (No. 12), with a = 20.605 Å, b = 4.666 Å, c = 9.456 Å, α = 90.00°, β = 104.63° and γ = 90.00°. The inequivalent atoms are Sr at (0.000, 0.000, 0.000), Sr at (0.167, 0.500, 0.333), Ac at (0.163, 0.500, 0.826), Pr at (0.000, 0.000, 0.500), Te at (0.003, 0.500, 0.256), Te at (0.165, 0.000, 0.576) and Te at (0.167, 0.000, 0.083).

The total moment comes out at 0.0 μB per cell. As for the uncorrected formation energy: -1584 meV per atom.

***

Record 2
OsSN3 after structural relaxation, computed with PBE-GGA.

It has space group Pm-3m (No. 221), with a = 3.871 Å, b = 3.871 Å, c = 3.871 Å, α = 90.00°, β = 90.00° and γ = 90.00°. The inequivalent atoms are Os at (0.000, 0.000, 0.000), S at (0.500, 0.500, 0.500) and N at (0.000, 0.000, 0.500).

The total moment comes out at 0.0 μB per cell. As for the uncorrected formation energy: 1557 meV per atom.

***

Record 3
Mg2AsRu after structural relaxation, computed with PBE-GGA.

It has space group Cmmm (No. 65), with a = 3.920 Å, b = 4.398 Å, c = 8.163 Å, α = 90.00°, β = 90.00° and γ = 90.00°. The inequivalent atoms are Mg at (0.000, 0.000, 0.228), As at (0.000, 0.500, 0.500) and Ru at (0.000, 0.500, 0.000).

As for the formation energy: -0.022 eV/atom. The total moment comes out at 2.1 μB per cell.